# 1
16
Lattice="6.137 0.000 0.000 0.000 6.137 0.000 0.000 0.000 6.137" Properties=species:S:1:pos:R:3 comment="LiNiMoAu PBE relaxed" dft_energy_ev_per_atom=-5.200 pbc="T T T"
Li 0.000 0.000 0.000
Li 0.000 3.068 3.068
Li 3.068 0.000 3.068
Li 3.068 3.068 0.000
Ni 1.534 1.534 1.534
Ni 1.534 4.603 4.603
Ni 4.603 1.534 4.603
Ni 4.603 4.603 1.534
Mo 0.000 0.000 3.068
Mo 0.000 3.068 0.000
Mo 3.068 0.000 0.000
Mo 3.068 3.068 3.068
Au 1.534 1.534 4.603
Au 1.534 4.603 1.534
Au 4.603 1.534 1.534
Au 4.603 4.603 4.603

***

# 2
14
Lattice="0.000 4.519 4.519 4.519 0.000 4.519 4.519 4.519 0.000" Properties=species:S:1:pos:R:3 comment="Sc2AuO4 PBE relaxed" dft_energy_ev_per_atom=-7.394 pbc="T T T"
Sc 0.000 0.000 0.000
Sc 2.260 2.260 0.000
Sc 2.260 0.000 2.260
Sc 0.000 2.260 2.260
Au 3.389 3.389 3.389
Au 5.649 5.649 5.649
O 6.934 4.363 4.363
O 2.104 2.104 2.104
O 4.675 4.675 2.104
O 4.675 2.104 4.675
O 4.363 6.934 4.363
O 4.363 4.363 6.934
O 6.934 6.934 6.934
O 2.104 4.675 4.675

***

# 3
12
Lattice="6.519 0.000 0.000 0.000 6.519 0.000 0.000 0.000 6.519" Properties=species:S:1:pos:R:3 comment="PaTaAl PBE relaxed" dft_energy_ev_per_atom=-7.811 pbc="T T T"
Pa 0.000 0.000 0.000
Pa 0.000 3.259 3.259
Pa 3.259 0.000 3.259
Pa 3.259 3.259 0.000
Ta 0.000 0.000 3.259
Ta 0.000 3.259 0.000
Ta 3.259 0.000 0.000
Ta 3.259 3.259 3.259
Al 1.630 1.630 1.630
Al 1.630 4.889 4.889
Al 4.889 1.630 4.889
Al 4.889 4.889 1.630

***

# 4
10
Lattice="2.717 0.000 0.000 0.000 2.717 0.000 0.000 0.000 17.615" Properties=species:S:1:pos:R:3 comment="Cu4Ag PBE relaxed" dft_energy_ev_per_atom=-3.479 e_form_ev_per_atom=0.059 pbc="T T T"
Cu 0.000 0.000 0.000
Cu 0.000 0.000 3.248
Cu 0.000 0.000 7.180
Cu 0.000 0.000 10.435
Cu 0.000 0.000 14.367
Cu 1.359 1.359 1.624
Cu 1.359 1.359 8.808
Cu 1.359 1.359 15.991
Ag 1.359 1.359 5.216
Ag 1.359 1.359 12.399